# ZrAu

A geometry-optimized ZrAu structure (PBE, the Alexandria database).

Cell: 4.376 4.376 4.376 Å, 60.00 60.00 60.00°
Sites, in units of the cell vectors:
Zr 0.000 0.000 0.000
Au 0.250 0.250 0.250

Summary:
- VASP energy: -5.465 eV/atom
- ΔE_f: 0.45 eV/atom
- D(E_F): 1.851 states/eV per atom